Compound: Ag2PRh
Source: the Alexandria database
Functional: PBE
Structure: optimized geometry

Cell and atoms, written as POSCAR:
```
Ag2PRh
1.0
-4.314 -0.261 2.312
-1.062 -1.676 -2.172
0.470 -5.324 0.277
Ag P Rh
2 1 1
direct
0.000 0.488 0.751
0.000 0.512 0.249
0.500 0.500 0.000
0.500 0.000 0.500
```

ρ (Mg/m³): 8.67
E_tot (eV/atom): -4.457
Space group: P2/m, No. 10
ΔE_f (meV/atom): 159